# Ni7GePt2 | Alexandria | PBE | relaxed
# Volume = 15.44 Å³/atom
# DFT total energy = -0.39391 Ry/atom
# Formation energy = 3.57 eV per formula unit
# D(E_F) = 14.73 states/eV/f.u.
data_Ni7GePt2
_chemical_formula_sum 'Ni14 Ge2 Pt4'
_cell_length_a 6.4798
_cell_length_b 12.4079
_cell_length_c 3.8417
_cell_angle_alpha 90.00
_cell_angle_beta 90.00
_cell_angle_gamma 90.00
_symmetry_space_group_name_H-M 'C m m m'
_symmetry_Int_Tables_number 65
_symmetry_space_group_name_Hall '-C 2 2'
loop_
_atom_site_label
_atom_site_type_symbol
_atom_site_fract_x
_atom_site_fract_y
_atom_site_fract_z
Ni1 Ni 0.0000 0.0000 0.0000
Ni2 Ni 0.0000 0.3153 0.5000
Ni3 Ni 0.1821 0.4017 0.0000
Ge1 Ge 0.0000 0.5000 0.5000
Pt1 Pt 0.0000 0.2010 0.0000